DFT (GGA-PBE) results for an optimized crystal structure of La2SnRuPb.

abc: 5.4408 5.4408 5.1566
angles: 90.00 90.00 90.00
With the nearest neighbours (Å) after each atom.
Positions (direct):
Pb 0.5000 0.5000 0.5000  8 La 3.75, 4 Sn 3.85
Sn 0.0000 0.0000 0.5000  2 Ru 2.58
La 0.0000 0.5000 0.0000  2 Ru 2.72
La 0.5000 0.0000 0.0000  2 Ru 2.72
Ru 0.0000 0.0000 0.0000  2 Sn 2.58, 4 La 2.72

Computed properties:
The size of the total moment is 0.0 μB/f.u. The formation energy is -0.492 eV per atom. As for the energy above the most stable polymorph in this dataset: 0.0 kJ per mole of atoms.

=====

DFT (GGA-PBE) results for an optimized crystal structure of MgSiSe2.

abc: 7.8714 7.8714 7.8714
angles: 29.21 29.21 29.21
With the nearest neighbours (Å) after each atom.
Positions (direct):
Mg 0.5000 0.5000 0.5000  6 Se 2.69
Se 0.8959 0.8959 0.8959  1 Si 2.35
Se 0.1041 0.1041 0.1041  1 Si 2.35
Si 0.0000 0.0000 0.0000  2 Se 2.35

Computed properties:
The size of the total moment is 0.0 μB/f.u.

=====

These records have uncorrected energy values of -5.860 -3.628 eV per atom, in the order they appear.